(1)
AlFeHgW: optimized geometry, PBE.

```
AlFeHgW
1.0
0.000 3.158 3.158
3.158 0.000 3.158
3.158 3.158 0.000
Al Fe Hg W
1 1 1 1
direct
0.000 0.000 0.000 Al
0.250 0.250 0.250 Fe
0.750 0.750 0.750 Hg
0.500 0.500 0.500 W
```

The excess energy over the best structure of this formula in the dataset comes out at 0 meV/atom. Its electronic total energy is -22.955 eV/cell.

=====

(2)
AlZnFeHg: optimized geometry, PBE.

```
AlZnFeHg
1.0
0.000 3.155 3.155
3.155 0.000 3.155
3.155 3.155 0.000
Al Zn Fe Hg
1 1 1 1
direct
0.000 0.000 0.000 Al
0.750 0.750 0.750 Zn
0.250 0.250 0.250 Fe
0.500 0.500 0.500 Hg
```

The excess energy over the best structure of this formula in the dataset comes out at 33 meV/atom. Its electronic total energy is -12.492 eV/cell.

=====

(3)
AlZnFeHg: optimized geometry, PBE.

```
AlZnFeHg
1.0
0.000 3.140 3.140
3.140 0.000 3.140
3.140 3.140 0.000
Al Zn Fe Hg
1 1 1 1
direct
0.000 0.000 0.000 Al
0.500 0.500 0.500 Zn
0.250 0.250 0.250 Fe
0.750 0.750 0.750 Hg
```

The excess energy over the best structure of this formula in the dataset comes out at 0 meV/atom. Its electronic total energy is -12.625 eV/cell.

=====

(4)
ZrAlFeHg: optimized geometry, PBE.

```
ZrAlFeHg
1.0
0.000 3.273 3.273
3.273 0.000 3.273
3.273 3.273 0.000
Zr Al Fe Hg
1 1 1 1
direct
0.000 0.000 0.000 Zr
0.500 0.500 0.500 Al
0.750 0.750 0.750 Fe
0.250 0.250 0.250 Hg
```

The excess energy over the best structure of this formula in the dataset comes out at 0 meV/atom. Its electronic total energy is -20.895 eV/cell.

=====

(5)
ZrAlFeHg: optimized geometry, PBE.

```
ZrAlFeHg
1.0
0.000 3.241 3.241
3.241 0.000 3.241
3.241 3.241 0.000
Zr Al Fe Hg
1 1 1 1
direct
0.000 0.000 0.000 Zr
0.250 0.250 0.250 Al
0.500 0.500 0.500 Fe
0.750 0.750 0.750 Hg
```

The excess energy over the best structure of this formula in the dataset comes out at 79 meV/atom. Its electronic total energy is -20.579 eV/cell.

=====

(6)
Ho2Al2Fe15: optimized geometry, PBE.

```
Ho2Al2Fe15
1.0
8.306 0.000 0.000
-4.153 7.193 0.000
0.000 0.000 8.343
Ho Al Fe
4 4 30
direct
0.000 0.000 0.250 Ho
0.000 0.000 0.750 Ho
0.333 0.667 0.250 Ho
0.667 0.333 0.750 Ho
0.333 0.667 0.600 Al
0.333 0.667 0.900 Al
0.667 0.333 0.100 Al
0.667 0.333 0.400 Al
0.000 0.500 0.000 Fe
0.000 0.500 0.500 Fe
0.033 0.364 0.750 Fe
0.033 0.669 0.750 Fe
0.165 0.331 0.012 Fe
0.165 0.331 0.488 Fe
0.165 0.835 0.012 Fe
0.165 0.835 0.488 Fe
0.331 0.165 0.512 Fe
0.331 0.165 0.988 Fe
0.331 0.364 0.750 Fe
0.331 0.967 0.750 Fe
0.364 0.033 0.250 Fe
0.364 0.331 0.250 Fe
0.500 0.000 0.000 Fe
0.500 0.000 0.500 Fe
0.500 0.500 0.000 Fe
0.500 0.500 0.500 Fe
0.636 0.669 0.750 Fe
0.636 0.967 0.750 Fe
0.669 0.033 0.250 Fe
0.669 0.636 0.250 Fe
0.669 0.835 0.012 Fe
0.669 0.835 0.488 Fe
0.835 0.165 0.512 Fe
0.835 0.165 0.988 Fe
0.835 0.669 0.512 Fe
0.835 0.669 0.988 Fe
0.967 0.331 0.250 Fe
0.967 0.636 0.250 Fe
```

Its electronic total energy is -286.152 eV/cell.

=====

(7)
Ho2Al4FeIr: optimized geometry, PBE.

```
Ho2Al4FeIr
1.0
7.138 0.000 0.000
0.000 2.052 5.017
0.000 -2.052 5.017
Ho Al Fe Ir
2 4 1 1
direct
0.000 0.000 0.000 Ho
0.500 0.130 0.130 Ho
0.202 0.722 0.722 Al
0.311 0.413 0.413 Al
0.689 0.413 0.413 Al
0.798 0.722 0.722 Al
0.500 0.852 0.852 Fe
0.000 0.281 0.281 Ir
```

Its electronic total energy is -46.096 eV/cell.

=====

(8)
HoLuAl2Fe4: optimized geometry, PBE.

```
HoLuAl2Fe4
1.0
3.937 0.000 0.000
0.000 4.914 0.000
0.000 0.000 6.777
Ho Lu Al Fe
1 1 2 4
direct
0.000 0.000 0.000 Ho
0.000 0.500 0.381 Lu
0.500 0.000 0.353 Al
0.500 0.500 0.025 Al
0.000 0.000 0.589 Fe
0.000 0.500 0.784 Fe
0.500 0.251 0.687 Fe
0.500 0.749 0.687 Fe
```

Its electronic total energy is -52.241 eV/cell.

=====

(9)
Ho2Al4FeNi: optimized geometry, PBE.

```
Ho2Al4FeNi
1.0
7.007 0.000 0.000
0.000 2.015 4.988
0.000 -2.015 4.988
Ho Al Fe Ni
2 4 1 1
direct
0.000 0.000 0.000 Ho
0.500 0.123 0.123 Ho
0.195 0.718 0.718 Al
0.305 0.404 0.404 Al
0.695 0.404 0.404 Al
0.805 0.718 0.718 Al
0.000 0.275 0.275 Fe
0.500 0.844 0.844 Ni
```

Its electronic total energy is -42.073 eV/cell.

=====

(10)
HoTmAl4Fe2: optimized geometry, PBE.

```
HoTmAl4Fe2
1.0
7.030 0.000 0.000
0.000 2.009 4.988
0.000 -2.009 4.988
Ho Tm Al Fe
1 1 4 2
direct
0.000 0.000 0.000 Ho
0.500 0.126 0.126 Tm
0.195 0.718 0.718 Al
0.307 0.408 0.408 Al
0.693 0.408 0.408 Al
0.805 0.718 0.718 Al
0.000 0.276 0.276 Fe
0.500 0.849 0.849 Fe
```

Its electronic total energy is -43.605 eV/cell.

=====

(11)
HoTmAl2Fe4: optimized geometry, PBE.

```
HoTmAl2Fe4
1.0
3.938 0.000 0.000
0.000 4.930 0.000
0.000 0.000 6.802
Ho Tm Al Fe
1 1 2 4
direct
0.000 0.000 0.000 Ho
0.000 0.500 0.381 Tm
0.500 0.000 0.355 Al
0.500 0.500 0.025 Al
0.000 0.000 0.591 Fe
0.000 0.500 0.786 Fe
0.500 0.251 0.689 Fe
0.500 0.749 0.689 Fe
```

Its electronic total energy is -52.190 eV/cell.

=====

(12)
YHoAl4Fe2: optimized geometry, PBE.

```
YHoAl4Fe2
1.0
7.067 0.000 0.000
0.000 1.991 5.059
0.000 -1.991 5.059
Y Ho Al Fe
1 1 4 2
direct
0.000 0.000 0.000 Y
0.500 0.121 0.121 Ho
0.194 0.718 0.718 Al
0.308 0.402 0.402 Al
0.692 0.402 0.402 Al
0.806 0.718 0.718 Al
0.000 0.276 0.276 Fe
0.500 0.845 0.845 Fe
```

Its electronic total energy is -45.565 eV/cell.

=====

no.,calculated volume (Å³/cell)
1,62.97
2,62.84
3,61.94
4,70.10
5,68.07
6,498.43
7,146.98
8,131.11
9,140.89
10,140.89
11,132.05
12,142.37